{"formula": "BaCa2Cu", "functional": "PBE-GGA", "state": "relaxed", "cell": [[0.000, 4.013, 4.013], [4.013, 0.000, 4.013], [4.013, 4.013, 0.000]], "species": ["Ca", "Ca", "Cu", "Ba"], "frac_coords": [[0.750, 0.750, 0.750], [0.250, 0.250, 0.250], [0.000, 0.000, 0.000], [0.500, 0.500, 0.500]], "total_magnetization_mub_per_cell": 0.00, "spacegroup": "No. 225", "energy_ev_per_atom": -2.244}